# NiAu3Se

A relaxed NiAu3Se crystal (PBE, Alexandria via LeMat-Bulk).

Cell and atoms, written as CIF:
```
data_NiAu3Se
_cell_length_a 4.756
_cell_length_b 4.756
_cell_length_c 4.756
_cell_angle_alpha 90.00
_cell_angle_beta 90.00
_cell_angle_gamma 90.00
_space_group_name_H-M_alt 'P 1'
_space_group_IT_number 1
_space_group_name_Hall 'P 1'
loop_
_atom_site_label
_atom_site_type_symbol
_atom_site_fract_x
_atom_site_fract_y
_atom_site_fract_z
Au1 Au 0.000 0.500 0.000
Au2 Au 0.000 0.000 0.500
Au3 Au 0.500 0.000 0.000
Se1 Se 0.500 0.500 0.500
Ni1 Ni 0.000 0.000 0.000
```

Magnetic moment in μB/f.u.: 0.0
Symmetry: Pm-3m, No. 221
Crystal system: cubic
Raw formation energy in eV/atom: 0.786
Distance to the lowest polymorph of the same formula in eV/atom: 0.000

# NiAu2Se

A relaxed NiAu2Se crystal (PBE, Alexandria via LeMat-Bulk).

Cell and atoms, written as CIF:
```
data_NiAu2Se
_cell_length_a 6.505
_cell_length_b 6.505
_cell_length_c 3.854
_cell_angle_alpha 76.80
_cell_angle_beta 76.80
_cell_angle_gamma 26.51
_space_group_name_H-M_alt 'P 1'
_space_group_IT_number 1
_space_group_name_Hall 'P 1'
loop_
_atom_site_label
_atom_site_type_symbol
_atom_site_fract_x
_atom_site_fract_y
_atom_site_fract_z
Au1 Au 0.563 0.563 0.448
Ni1 Ni 0.250 0.250 0.250
Se1 Se 0.750 0.750 0.750
Au2 Au 0.937 0.937 0.052
```

Magnetic moment in μB/f.u.: 0.0
Symmetry: C2/m, No. 12
Crystal system: monoclinic
Raw formation energy in eV/atom: 0.103

# NiAuSe3

A relaxed NiAuSe3 crystal (PBE, Alexandria via LeMat-Bulk).

Cell and atoms, written as CIF:
```
data_NiAuSe3
_cell_length_a 5.082
_cell_length_b 5.082
_cell_length_c 5.082
_cell_angle_alpha 90.00
_cell_angle_beta 90.00
_cell_angle_gamma 90.00
_space_group_name_H-M_alt 'P 1'
_space_group_IT_number 1
_space_group_name_Hall 'P 1'
loop_
_atom_site_label
_atom_site_type_symbol
_atom_site_fract_x
_atom_site_fract_y
_atom_site_fract_z
Se1 Se 0.000 0.000 0.500
Ni1 Ni 0.500 0.500 0.500
Se2 Se 0.000 0.500 0.000
Au1 Au 0.000 0.000 0.000
Se3 Se 0.500 0.000 0.000
```

Magnetic moment in μB/f.u.: 2.4
Symmetry: Pm-3m, No. 221
Crystal system: cubic
Raw formation energy in eV/atom: 1.053
Distance to the lowest polymorph of the same formula in eV/atom: 0.538